{
  "formula": "YNiHg2",
  "functional": "PBE-GGA",
  "state": "optimized geometry",
  "lattice": [[3.858, 0.000, 0.000], [0.000, 3.743, -0.003], [0.000, 1.882, 6.083]],
  "species": ["Hg", "Hg", "Ni", "Y"],
  "fractional_positions": [[0.000, 0.063, 0.999], [0.500, 0.436, 0.253], [0.000, 0.287, 0.552], [0.500, 0.714, 0.696]],
  "magmom_total_mub_per_fu": 0.0,
  "spacegroup": "Amm2 (38)",
  "formation_enthalpy_0k_ev_per_atom": -0.234,
  "dos_at_fermi_per_ev_atom": 0.256,
  "rho_g_cm3": 10.4,
  "crystal_system": "orthorhombic"
}

{
  "formula": "FeHg2Ru",
  "functional": "PBE-GGA",
  "state": "optimized geometry",
  "lattice": [[5.013, 0.020, 0.000], [1.659, 4.730, 0.000], [-3.336, -2.375, 2.891]],
  "species": ["Fe", "Hg", "Hg", "Ru"],
  "fractional_positions": [[0.750, 0.250, 0.500], [0.000, 0.000, 0.000], [0.250, 0.750, 0.500], [0.500, 0.500, 0.000]],
  "magmom_total_mub_per_fu": 4.0,
  "spacegroup": "I-4m2 (119)",
  "relative_energy_ev_per_atom": 0.214,
  "formation_enthalpy_0k_ev_per_atom": 0.547,
  "dos_at_fermi_per_ev_atom": 0.754,
  "rho_g_cm3": 13.5,
  "crystal_system": "tetragonal"
}

{
  "formula": "Tb5Ni2Pb",
  "functional": "PBE-GGA",
  "state": "optimized geometry",
  "lattice": [[-0.546, -3.260, 7.015], [1.843, -6.885, -3.056], [5.863, 6.330, -0.888]],
  "species": ["Tb", "Tb", "Tb", "Tb", "Tb", "Tb", "Tb", "Tb", "Tb", "Tb", "Ni", "Ni", "Ni", "Ni", "Pb", "Pb"],
  "fractional_positions": [[0.523, 0.708, 0.731], [0.792, 0.977, 0.269], [0.000, 0.000, 0.000], [0.500, 0.500, 0.000], [0.208, 0.023, 0.731], [0.708, 0.208, 0.731], [0.023, 0.523, 0.731], [0.292, 0.792, 0.269], [0.977, 0.477, 0.269], [0.477, 0.292, 0.269], [0.129, 0.371, 0.000], [0.629, 0.129, 0.000], [0.371, 0.871, 0.000], [0.871, 0.629, 0.000], [0.750, 0.750, 0.500], [0.250, 0.250, 0.500]],
  "magmom_total_mub_per_fu": 0.0,
  "spacegroup": "I4/mcm (140)",
  "formation_enthalpy_0k_ev_per_atom": -0.380,
  "dos_at_fermi_per_ev_atom": 1.107,
  "rho_g_cm3": 9.2,
  "crystal_system": "tetragonal"
}

{
  "formula": "VMo2Os",
  "functional": "PBE-GGA",
  "state": "optimized geometry",
  "lattice": [[3.079, 0.000, 0.000], [0.000, 3.079, 0.000], [0.000, 0.000, 6.253]],
  "species": ["Mo", "Mo", "Os", "V"],
  "fractional_positions": [[0.000, 0.000, 0.765], [0.000, 0.000, 0.235], [0.500, 0.500, 0.500], [0.500, 0.500, 0.000]],
  "magmom_total_mub_per_fu": 0.0,
  "spacegroup": "P4/mmm (123)",
  "relative_energy_ev_per_atom": 0.027,
  "formation_enthalpy_0k_ev_per_atom": -0.011,
  "dos_at_fermi_per_ev_atom": 0.883,
  "rho_g_cm3": 12.1,
  "crystal_system": "tetragonal"
}

{
  "formula": "LaSbW2",
  "functional": "PBE-GGA",
  "state": "optimized geometry",
  "lattice": [[-1.535, 0.052, -5.499], [-1.271, -5.084, -2.265], [-1.429, 3.559, 4.229]],
  "species": ["La", "Sb", "W", "W"],
  "fractional_positions": [[0.750, 0.250, 0.500], [0.250, 0.750, 0.500], [0.999, 0.999, 0.000], [0.501, 0.501, 0.000]],
  "magmom_total_mub_per_fu": 0.0,
  "spacegroup": "Immm (71)",
  "dos_at_fermi_per_ev_atom": 1.032,
  "rho_g_cm3": 12.1,
  "crystal_system": "orthorhombic",
  "e_form_raw_ev_per_atom": 0.81
}

{
  "formula": "KRu2Pt",
  "functional": "PBE-GGA",
  "state": "optimized geometry",
  "lattice": [[-3.306, -2.101, 1.747], [0.675, -3.286, -2.674], [4.594, -6.679, 5.927]],
  "species": ["Ru", "Ru", "Ru", "Ru", "K", "K", "Pt", "Pt"],
  "fractional_positions": [[0.756, 0.125, 0.250], [0.994, 0.625, 0.250], [0.375, 0.244, 0.750], [0.875, 0.006, 0.750], [0.500, 0.500, 0.000], [0.250, 0.750, 0.500], [0.000, 0.000, 0.000], [0.750, 0.250, 0.500]],
  "magmom_total_mub_per_fu": 0.0,
  "spacegroup": "I-42d (122)",
  "relative_energy_ev_per_atom": 0.619,
  "formation_enthalpy_0k_ev_per_atom": 1.055,
  "dos_at_fermi_per_ev_atom": 1.152,
  "rho_g_cm3": 8.2,
  "crystal_system": "tetragonal"
}